VASP calculation (PBE) on Dy2Al2Ir3Pd after structural relaxation.

Lattice parameters (Å, degrees): 4.294 4.294 9.238 90.00 90.00 120.00
Positions (direct):
Dy: 0.000 0.000 0.000
Dy: 0.333 0.667 0.493
Al: 0.667 0.333 0.251
Al: 0.667 0.333 0.763
Ir: 0.000 0.000 0.328
Ir: 0.333 0.667 0.162
Ir: 0.333 0.667 0.834
Pd: 0.000 0.000 0.663

Summary:
Uncorrected energy = -6.85 eV/atom
Magnetization = 0.063 μB/f.u.

---

VASP calculation (PBE) on Zr2GePd2Pb after structural relaxation.

Lattice parameters (Å, degrees): 10.968 4.476 10.987 90.00 109.51 90.00
Positions (direct):
Zr: 0.000 0.000 0.000
Zr: 0.117 0.500 0.373
Zr: 0.238 0.000 0.742
Zr: 0.376 0.500 0.135
Zr: 0.498 0.000 0.499
Zr: 0.624 0.500 0.867
Zr: 0.747 0.000 0.257
Zr: 0.866 0.500 0.620
Ge: 0.247 0.000 0.251
Ge: 0.622 0.500 0.376
Ge: 0.745 0.000 0.746
Ge: 0.993 0.000 0.498
Pd: 0.131 0.500 0.134
Pd: 0.235 0.000 0.488
Pd: 0.370 0.500 0.873
Pd: 0.499 0.000 0.260
Pd: 0.626 0.500 0.621
Pd: 0.748 0.000 0.988
Pd: 0.869 0.500 0.381
Pd: 0.985 0.000 0.739
Pb: 0.119 0.500 0.874
Pb: 0.369 0.500 0.621
Pb: 0.498 0.000 0.001
Pb: 0.870 0.500 0.125

Summary:
Uncorrected energy = -6.59 eV/atom
Magnetization = 0.001 μB/f.u.

---

VASP calculation (PBE) on DyTc after structural relaxation.

Lattice parameters (Å, degrees): 4.000 4.000 4.000 60.00 60.00 60.00
Positions (direct):
Dy: 0.000 0.000 0.000
Tc: 0.500 0.500 0.500

Summary:
Formation enthalpy at 0 K = 909 meV/atom
Magnetization = 0.949 μB/f.u.

---

VASP calculation (PBE) on LiCuMoPd after structural relaxation.

Lattice parameters (Å, degrees): 4.224 4.224 4.224 60.00 60.00 60.00
Positions (direct):
Li: 0.000 0.000 0.000
Cu: 0.500 0.500 0.500
Mo: 0.750 0.750 0.750
Pd: 0.250 0.250 0.250

Summary:
Uncorrected energy = -5.13 eV/atom
Magnetization = 0.005 μB/f.u.

---

VASP calculation (PBE) on Zr3Al2Cd2 after structural relaxation.

Lattice parameters (Å, degrees): 8.320 8.320 8.320 33.40 33.40 33.40
Positions (direct):
Zr: 0.000 0.000 0.000
Zr: 0.251 0.251 0.251
Zr: 0.502 0.502 0.502
Al: 0.123 0.123 0.123
Al: 0.629 0.629 0.629
Cd: 0.382 0.382 0.382
Cd: 0.863 0.863 0.863

Summary:
Uncorrected energy = -4.99 eV/atom
Magnetization = 0.004 μB/f.u.

---

VASP calculation (PBE) on TmCo4B after structural relaxation.

Lattice parameters (Å, degrees): 4.953 4.953 6.825 90.00 90.00 120.00
Positions (direct):
Tm: 0.000 0.000 0.000
Tm: 0.000 0.000 0.500
Co: 0.000 0.500 0.213
Co: 0.000 0.500 0.787
Co: 0.333 0.667 0.500
Co: 0.500 0.000 0.213
Co: 0.500 0.000 0.787
Co: 0.500 0.500 0.213
Co: 0.500 0.500 0.787
Co: 0.667 0.333 0.500
B: 0.333 0.667 0.000
B: 0.667 0.333 0.000

Summary:
Uncorrected energy = -6.92 eV/atom
Magnetization = 3.554 μB/f.u.

---

VASP calculation (PBE) on KPaO3 after structural relaxation.

Lattice parameters (Å, degrees): 6.193 6.193 6.193 60.02 60.02 60.02
Positions (direct):
K: 0.250 0.250 0.250
K: 0.750 0.750 0.750
Pa: 0.000 0.000 0.000
Pa: 0.500 0.500 0.500
O: 0.218 0.750 0.282
O: 0.250 0.718 0.782
O: 0.282 0.218 0.750
O: 0.718 0.782 0.250
O: 0.750 0.282 0.218
O: 0.782 0.250 0.718

Summary:
Uncorrected energy = -7.78 eV/atom
Magnetization = 0.000 μB/f.u.

---

VASP calculation (PBE) on Mg4Si2IrPd after structural relaxation.

Lattice parameters (Å, degrees): 4.254 4.254 8.682 90.00 90.00 120.00
Positions (direct):
Mg: 0.000 0.000 0.162
Mg: 0.000 0.000 0.838
Mg: 0.333 0.667 0.332
Mg: 0.333 0.667 0.668
Si: 0.667 0.333 0.000
Si: 0.667 0.333 0.500
Ir: 0.333 0.667 0.000
Pd: 0.000 0.000 0.500

Summary:
Uncorrected energy = -4.41 eV/atom
Magnetization = 0.001 μB/f.u.

---

Q: Which formula does entry 2 have?
A: Zr2GePd2Pb

---

Q: Which formula does entry 6 have?
A: TmCo4B

---

Q: Look up the magnetization of the eighth one.
A: 0.001 μB/f.u.